Sc6Al7Ni16 after structural relaxation, computed with PBEsol.

## Properties
E = -738.18 eV for the cell shown
total moment = 0.01 μB per cell
energy of formation from the pure elements = -0.612 eV/atom

abc: 11.569 11.569 11.569
angles: 90.00 90.00 90.00
Space group Fm-3m (No. 225)
Symmetry-distinct sites (fractional):
Sc  0.000  0.000  0.214 (multiplicity 24)
Al  0.000  0.000  0.500 (multiplicity 4)
Al  0.000  0.250  0.250 (multiplicity 24)
Ni  0.122  0.122  0.378 (multiplicity 32)
Ni  0.171  0.171  0.171 (multiplicity 32)

MgRe2O8 after structural relaxation, computed with PBEsol.

## Properties
E = -90.23 eV for the cell shown
total moment = 0.00 μB per cell
energy relative to the lowest polymorph listed for this composition = 0 meV/atom
formation energy (no corrections) = -19.853 eV/f.u.

abc: 5.7594 5.7594 6.4135
angles: 90.00 90.00 120.00
Space group P-3m1 (No. 164)
Symmetry-distinct sites (fractional):
Mg  0.0000  0.0000  0.0000 (multiplicity 1)
Re  0.3333  0.6667  0.2757 (multiplicity 2)
O  0.1684  0.3368  0.1848 (multiplicity 6)
O  0.3333  0.6667  0.5450 (multiplicity 2)

Cu2ICl after structural relaxation, computed with PBEsol.

## Properties
E = -53.27 eV for the cell shown
total moment = 0.00 μB per cell
formation energy (no corrections) = -0.874 eV/f.u.

abc: 5.558 5.558 11.400
angles: 90.00 90.00 90.00
Space group I-42d (No. 122)
Symmetry-distinct sites (fractional):
Cu  0.212  0.250  0.125 (multiplicity 8)
I  0.000  0.000  0.500 (multiplicity 4)
Cl  0.000  0.000  0.000 (multiplicity 4)

ReC after structural relaxation, computed with PBEsol.

## Properties
E = -60.52 eV for the cell shown
total moment = 0.00 μB per cell
energy relative to the lowest polymorph listed for this composition = 731 meV/atom
energy of formation from the pure elements = 1.401 eV/atom

abc: 5.3524 5.3524 2.8725
angles: 90.00 90.00 120.00
Space group P6/mmm (No. 191)
Symmetry-distinct sites (fractional):
Re  0.0000  0.5000  0.0000 (multiplicity 3)
C  0.0000  0.0000  0.0000 (multiplicity 1)
C  0.3333  0.6667  0.5000 (multiplicity 2)

Ta5Re3 after structural relaxation, computed with PBEsol.

## Properties
E = -210.91 eV for the cell shown
total moment = 0.00 μB per cell
energy of formation from the pure elements = -0.338 eV/atom

abc: 6.389 9.019 4.510
angles: 90.00 90.00 90.00
Space group Cmmm (No. 65)
Symmetry-distinct sites (fractional):
Ta  0.000  0.000  0.000 (multiplicity 2)
Ta  0.247  0.500  0.500 (multiplicity 4)
Ta  0.250  0.250  0.000 (multiplicity 4)
Re  0.000  0.248  0.500 (multiplicity 4)
Re  0.000  0.500  0.000 (multiplicity 2)

Ca2YBr after structural relaxation, computed with PBEsol.

## Properties
E = -14.48 eV for the cell shown
total moment = 0.30 μB per cell
energy relative to the lowest polymorph listed for this composition = 245 meV/atom
formation energy (no corrections) = -1.524 eV/f.u.

abc: 3.729 5.585 6.959
angles: 90.00 105.60 90.00
Space group Pm (No. 6)
Symmetry-distinct sites (fractional):
Ca  0.000  0.000  0.000 (multiplicity 1)
Ca  0.357  0.500  0.715 (multiplicity 1)
Y  0.617  0.500  0.234 (multiplicity 1)
Br  0.679  0.000  0.356 (multiplicity 1)

NiMo2Os after structural relaxation, computed with PBEsol.

## Properties
E = -41.81 eV for the cell shown
total moment = 0.00 μB per cell
energy relative to the lowest polymorph listed for this composition = 42 meV/atom
energy of formation from the pure elements = 0.024 eV/atom

abc: 2.737 4.315 4.674
angles: 90.00 90.00 90.00
Space group Pmm2 (No. 25)
Symmetry-distinct sites (fractional):
Ni  0.000  0.000  0.000 (multiplicity 1)
Mo  0.500  0.000  0.494 (multiplicity 1)
Mo  0.500  0.500  0.145 (multiplicity 1)
Os  0.000  0.500  0.659 (multiplicity 1)

CdSiO3 after structural relaxation, computed with PBEsol.

## Properties
E = -265.87 eV for the cell shown
total moment = 0.00 μB per cell
formation energy (no corrections) = -10.542 eV/f.u.

abc: 9.688 9.604 5.461
angles: 90.00 90.00 90.00
Space group Pbcn (No. 60)
Symmetry-distinct sites (fractional):
Cd  0.000  0.100  0.250 (multiplicity 4)
Cd  0.000  0.276  0.750 (multiplicity 4)
Si  0.206  0.416  0.095 (multiplicity 8)
O  0.126  0.090  0.596 (multiplicity 8)
O  0.130  0.267  0.070 (multiplicity 8)
O  0.152  0.498  0.345 (multiplicity 8)

InTc2Ru2 after structural relaxation, computed with PBEsol.

## Properties
E = -87.61 eV for the cell shown
total moment = 0.00 μB per cell
energy of formation from the pure elements = 0.411 eV/atom

abc: 3.914 3.914 10.792
angles: 90.00 90.00 90.00
Space group I4/mmm (No. 139)
Symmetry-distinct sites (fractional):
In  0.000  0.000  0.000 (multiplicity 2)
Tc  0.000  0.000  0.393 (multiplicity 4)
Ru  0.000  0.500  0.250 (multiplicity 4)

TlCo2Au after structural relaxation, computed with PBEsol.

## Properties
E = -20.27 eV for the cell shown
total moment = 2.50 μB per cell
energy of formation from the pure elements = 0.441 eV/atom

abc: 3.129 3.129 6.006
angles: 90.00 90.00 90.00
Space group P4/mmm (No. 123)
Symmetry-distinct sites (fractional):
Tl  0.000  0.000  0.000 (multiplicity 1)
Co  0.500  0.500  0.267 (multiplicity 2)
Au  0.000  0.000  0.500 (multiplicity 1)

CrInSb after structural relaxation, computed with PBEsol.

## Properties
E = -33.60 eV for the cell shown
total moment = 5.03 μB per cell
energy relative to the lowest polymorph listed for this composition = 0 meV/atom
formation energy (no corrections) = 0.980 eV/f.u.

abc: 3.121 3.121 12.676
angles: 90.00 90.00 90.00
Space group I4mm (No. 107)
Symmetry-distinct sites (fractional):
Cr  0.000  0.000  0.000 (multiplicity 2)
In  0.000  0.000  0.359 (multiplicity 2)
Sb  0.000  0.000  0.634 (multiplicity 2)

CaZnAg3 after structural relaxation, computed with PBEsol.

## Properties
E = -8.08 eV for the cell shown
total moment = 0.00 μB per cell
energy of formation from the pure elements = 1.114 eV/atom

abc: 5.288 5.288 5.288
angles: 90.00 90.00 90.00
Space group Pm-3m (No. 221)
Symmetry-distinct sites (fractional):
Ca  0.000  0.000  0.000 (multiplicity 1)
Zn  0.500  0.500  0.500 (multiplicity 1)
Ag  0.000  0.000  0.500 (multiplicity 3)

KTcSb2 after structural relaxation, computed with PBEsol.

## Properties
E = -22.19 eV for the cell shown
total moment = 0.00 μB per cell
energy relative to the lowest polymorph listed for this composition = 0 meV/atom
formation energy (no corrections) = -0.676 eV/f.u.

abc: 3.250 3.250 8.676
angles: 90.00 90.00 90.00
Space group P4/mmm (No. 123)
Symmetry-distinct sites (fractional):
K  0.000  0.000  0.000 (multiplicity 1)
Tc  0.000  0.000  0.500 (multiplicity 1)
Sb  0.500  0.500  0.313 (multiplicity 2)

Be24Re5 after structural relaxation, computed with PBEsol.

## Properties
E = -333.63 eV for the cell shown
total moment = 0.00 μB per cell
energy of formation from the pure elements = -0.143 eV/atom

abc: 8.104 8.104 8.104
angles: 90.00 90.00 90.00
Space group I-43m (No. 217)
Symmetry-distinct sites (fractional):
Be  0.031  0.348  0.652 (multiplicity 24)
Be  0.092  0.092  0.720 (multiplicity 24)
Re  0.000  0.000  0.000 (multiplicity 2)
Re  0.191  0.191  0.191 (multiplicity 8)

Li2CdIn after structural relaxation, computed with PBEsol.

## Properties
E = -8.97 eV for the cell shown
total moment = 0.00 μB per cell
energy of formation from the pure elements = -0.215 eV/atom

abc: 3.042 4.290 5.892
angles: 90.00 90.00 90.00
Space group Pmm2 (No. 25)
Symmetry-distinct sites (fractional):
Li  0.000  0.000  0.000 (multiplicity 1)
Li  0.500  0.500  0.266 (multiplicity 1)
Cd  0.000  0.000  0.485 (multiplicity 1)
In  0.500  0.500  0.773 (multiplicity 1)

TaPbF7 after structural relaxation, computed with PBEsol.

## Properties
E = -113.88 eV for the cell shown
total moment = 0.00 μB per cell
formation energy (no corrections) = -26.898 eV/f.u.

abc: 4.901 7.289 6.766
angles: 90.00 93.98 90.00
Space group P2_1/m (No. 11)
Symmetry-distinct sites (fractional):
Ta  0.034  0.250  0.218 (multiplicity 2)
Pb  0.483  0.250  0.681 (multiplicity 2)
F  0.093  0.750  0.508 (multiplicity 2)
F  0.145  0.750  0.052 (multiplicity 2)
F  0.175  0.528  0.787 (multiplicity 4)
F  0.304  0.077  0.361 (multiplicity 4)
F  0.334  0.250  0.049 (multiplicity 2)

YIn2Cu after structural relaxation, computed with PBEsol.

## Properties
E = -18.08 eV for the cell shown
total moment = 0.14 μB per cell
energy of formation from the pure elements = -0.239 eV/atom

abc: 3.272 3.272 7.653
angles: 90.00 90.00 90.00
Space group P4/mmm (No. 123)
Symmetry-distinct sites (fractional):
Y  0.000  0.000  0.000 (multiplicity 1)
In  0.500  0.500  0.294 (multiplicity 2)
Cu  0.000  0.000  0.500 (multiplicity 1)

BeMo2Br after structural relaxation, computed with PBEsol.

## Properties
E = -26.41 eV for the cell shown
total moment = 0.00 μB per cell
energy relative to the lowest polymorph listed for this composition = 446 meV/atom
formation energy (no corrections) = 2.992 eV/f.u.

abc: 4.465 2.888 4.905
angles: 90.00 113.02 90.00
Space group P2/m (No. 10)
Symmetry-distinct sites (fractional):
Be  0.000  0.000  0.000 (multiplicity 1)
Mo  0.500  0.000  0.500 (multiplicity 1)
Mo  0.500  0.500  0.000 (multiplicity 1)
Br  0.000  0.500  0.500 (multiplicity 1)

KHg2Br after structural relaxation, computed with PBEsol.

## Properties
E = -13.94 eV for the cell shown
total moment = 0.00 μB per cell
energy relative to the lowest polymorph listed for this composition = 0 meV/atom
formation energy (no corrections) = -2.834 eV/f.u.

abc: 4.418 4.418 12.179
angles: 90.00 90.00 90.00
Space group I4/mmm (No. 139)
Symmetry-distinct sites (fractional):
K  0.000  0.000  0.000 (multiplicity 2)
Hg  0.000  0.500  0.250 (multiplicity 4)
Br  0.000  0.000  0.500 (multiplicity 2)

Si2HgMo after structural relaxation, computed with PBEsol.

## Properties
E = -70.16 eV for the cell shown
total moment = 0.00 μB per cell
formation energy (no corrections) = 0.442 eV/f.u.

abc: 3.0397 3.0397 24.8733
angles: 90.00 90.00 120.00
Space group R-3m (No. 166, hexagonal axes)
Symmetry-distinct sites (fractional):
Si  0.0000  0.0000  0.2396 (multiplicity 6)
Hg  0.0000  0.0000  0.0000 (multiplicity 3)
Mo  0.0000  0.0000  0.5000 (multiplicity 3)

Tm3Cu4Si4 after structural relaxation, computed with PBEsol.

## Properties
E = -125.43 eV for the cell shown
total moment = 0.00 μB per cell
formation energy (no corrections) = -7.696 eV/f.u.

abc: 4.044 6.419 13.372
angles: 90.00 90.00 90.00
Space group Immm (No. 71)
Symmetry-distinct sites (fractional):
Tm  0.000  0.000  0.000 (multiplicity 2)
Tm  0.000  0.500  0.129 (multiplicity 4)
Cu  0.000  0.308  0.330 (multiplicity 8)
Si  0.000  0.000  0.216 (multiplicity 4)
Si  0.000  0.187  0.500 (multiplicity 4)

Li2SbBr after structural relaxation, computed with PBEsol.

## Properties
E = -27.52 eV for the cell shown
total moment = 0.00 μB per cell
energy relative to the lowest polymorph listed for this composition = 0 meV/atom
formation energy (no corrections) = -3.402 eV/f.u.

abc: 3.310 3.356 15.414
angles: 90.00 90.00 90.00
Space group Imm2 (No. 44)
Symmetry-distinct sites (fractional):
Li  0.000  0.000  0.000 (multiplicity 2)
Li  0.000  0.500  0.210 (multiplicity 2)
Sb  0.000  0.500  0.835 (multiplicity 2)
Br  0.000  0.000  0.578 (multiplicity 2)

TiB2Mo after structural relaxation, computed with PBEsol.

## Properties
E = -75.30 eV for the cell shown
total moment = 0.00 μB per cell
energy relative to the lowest polymorph listed for this composition = 0 meV/atom
energy of formation from the pure elements = -0.882 eV/atom

abc: 3.062 3.150 8.376
angles: 90.00 90.00 90.00
Space group Amm2 (No. 38)
Symmetry-distinct sites (fractional):
Ti  0.000  0.000  0.000 (multiplicity 2)
B  0.000  0.000  0.292 (multiplicity 2)
B  0.500  0.000  0.412 (multiplicity 2)
Mo  0.500  0.000  0.707 (multiplicity 2)